Version i
TlReRu2: single point on PBEsol structure, meta-GGA SCAN.

Properties
crystal system	tetragonal
SG	I-4m2 (119)
magnetic moment	0.0	μB per formula unit
N(E_F)	1.0436	states/eV per atom

Cell and atoms, written as POSCAR:
```
TlReRu2
1.0
-1.909 1.909 4.203
1.909 -1.909 4.203
1.909 1.909 -4.203
Tl Re Ru
1 1 2
direct
0.000 0.000 0.000
0.750 0.250 0.500
0.250 0.750 0.500
0.500 0.500 0.000
```

Version ii
TlReRu2: single point on PBEsol structure, meta-GGA SCAN.

Properties
crystal system	monoclinic
SG	C2/m (12)
magnetic moment	0.0	μB per formula unit
N(E_F)	0.9681	states/eV per atom

Cell and atoms, written as POSCAR:
```
TlReRu2
1.0
4.490 -1.415 0.000
4.490 1.415 0.000
-0.860 0.000 4.934
Tl Re Ru
1 1 2
direct
0.000 0.000 0.000
0.500 0.500 0.500
0.240 0.240 0.713
0.760 0.760 0.287
```

Version iii
TlReRu2: single point on PBEsol structure, meta-GGA SCAN.

Properties
crystal system	monoclinic
SG	Cm (8)
magnetic moment	0.0	μB per formula unit
N(E_F)	1.0566	states/eV per atom

Cell and atoms, written as POSCAR:
```
TlReRu2
1.0
4.631 -1.428 0.000
4.631 1.428 0.000
-0.942 0.000 4.700
Tl Re Ru
1 1 2
direct
0.000 0.000 0.000
0.234 0.234 0.682
0.498 0.498 0.507
0.760 0.760 0.240
```

Last place for stability: version i

Version i
TlReRu2: single point on PBEsol structure, meta-GGA SCAN.

Properties
crystal system	orthorhombic
SG	Cmmm (65)
magnetic moment	0.0	μB per formula unit
N(E_F)	1.3273	states/eV per atom

Cell and atoms, written as POSCAR:
```
TlReRu2
1.0
2.855 -3.770 0.000
2.855 3.770 0.000
0.000 0.000 2.854
Tl Re Ru
1 1 2
direct
0.000 0.000 0.000
0.500 0.500 0.000
0.000 0.500 0.500
0.500 0.000 0.500
```

Version ii
TlReRu2: single point on PBEsol structure, meta-GGA SCAN.

Properties
crystal system	tetragonal
SG	P4/mmm (123)
magnetic moment	0.0	μB per formula unit
N(E_F)	0.6500	states/eV per atom

Cell and atoms, written as POSCAR:
```
TlReRu2
1.0
2.847 0.000 0.000
0.000 2.847 0.000
0.000 0.000 7.661
Tl Re Ru
1 1 2
direct
0.000 0.000 0.000
0.000 0.000 0.500
0.500 0.500 0.277
0.500 0.500 0.723
```

Last place for stability: version i

Version i
TlRe2Ru: single point on PBEsol structure, meta-GGA SCAN.

Properties
crystal system	tetragonal
SG	P4mm (99)
magnetic moment	0.0	μB per formula unit
N(E_F)	1.0906	states/eV per atom

Cell and atoms, written as POSCAR:
```
TlRe2Ru
1.0
2.848 0.000 0.000
0.000 2.848 0.000
0.000 0.000 7.848
Tl Re Ru
1 2 1
direct
0.000 0.000 0.000
0.000 0.000 0.511
0.500 0.500 0.285
0.500 0.500 0.731
```

Version ii
TlRe2Ru: single point on PBEsol structure, meta-GGA SCAN.

Properties
crystal system	tetragonal
SG	P4/mmm (123)
magnetic moment	0.0	μB per formula unit
N(E_F)	1.1486	states/eV per atom

Cell and atoms, written as POSCAR:
```
TlRe2Ru
1.0
4.684 0.000 0.000
0.000 4.684 0.000
0.000 0.000 2.888
Tl Re Ru
1 2 1
direct
0.000 0.000 0.000
0.000 0.500 0.500
0.500 0.000 0.500
0.500 0.500 0.000
```

Version iii
TlRe2Ru: single point on PBEsol structure, meta-GGA SCAN.

Properties
crystal system	orthorhombic
SG	Pmm2 (25)
magnetic moment	0.0	μB per formula unit
N(E_F)	0.9672	states/eV per atom

Cell and atoms, written as POSCAR:
```
TlRe2Ru
1.0
2.826 0.000 0.000
0.000 3.878 0.000
0.000 0.000 5.828
Tl Re Ru
1 2 1
direct
0.000 0.000 0.000
0.000 0.000 0.498
0.500 0.500 0.302
0.500 0.500 0.740
```

Version iv
TlRe2Ru: single point on PBEsol structure, meta-GGA SCAN.

Properties
crystal system	monoclinic
SG	Cm (8)
magnetic moment	0.0	μB per formula unit
N(E_F)	0.7607	states/eV per atom

Cell and atoms, written as POSCAR:
```
TlRe2Ru
1.0
4.577 -1.435 0.000
4.577 1.435 0.000
-0.947 0.000 4.865
Tl Re Ru
1 2 1
direct
0.000 0.000 0.000
0.234 0.234 0.681
0.493 0.493 0.505
0.761 0.761 0.252
```

Last place for stability: version ii

Version i
Re2RuW: single point on PBEsol structure, meta-GGA SCAN.

Properties
crystal system	tetragonal
SG	P4mm (99)
magnetic moment	0.0	μB per formula unit
N(E_F)	1.0115	states/eV per atom

Cell and atoms, written as POSCAR:
```
Re2RuW
1.0
2.742 0.000 0.000
0.000 2.742 0.000
0.000 0.000 7.776
Re Ru W
2 1 1
direct
0.000 0.000 0.000
0.500 0.500 0.246
0.000 0.000 0.487
0.500 0.500 0.738
```

Version ii
Re2RuW: single point on PBEsol structure, meta-GGA SCAN.

Properties
crystal system	tetragonal
SG	I-4m2 (119)
magnetic moment	0.0	μB per formula unit
N(E_F)	0.9406	states/eV per atom

Cell and atoms, written as POSCAR:
```
Re2RuW
1.0
-1.940 1.940 3.875
1.940 -1.940 3.875
1.940 1.940 -3.875
Re Ru W
2 1 1
direct
0.000 0.000 0.000
0.750 0.250 0.500
0.500 0.500 0.000
0.250 0.750 0.500
```

Version iii
Re2RuW: single point on PBEsol structure, meta-GGA SCAN.

Properties
crystal system	tetragonal
SG	P4/mmm (123)
magnetic moment	0.0	μB per formula unit
N(E_F)	1.0114	states/eV per atom

Cell and atoms, written as POSCAR:
```
Re2RuW
1.0
2.725 0.000 0.000
0.000 2.725 0.000
0.000 0.000 7.884
Re Ru W
2 1 1
direct
0.000 0.000 0.238
0.000 0.000 0.762
0.500 0.500 0.000
0.500 0.500 0.500
```

Version iv
Re2RuW: single point on PBEsol structure, meta-GGA SCAN.

Properties
crystal system	trigonal
SG	R-3m (166)
magnetic moment	0.0	μB per formula unit
N(E_F)	0.9198	states/eV per atom

Cell and atoms, written as POSCAR:
```
Re2RuW
1.0
1.367 0.789 9.059
-1.367 0.789 9.059
0.000 -1.579 9.059
Re Ru W
2 1 1
direct
0.247 0.247 0.247
0.753 0.753 0.753
0.500 0.500 0.500
0.000 0.000 0.000
```

Last place for stability: version iv

Version i
YReRu: single point on PBEsol structure, meta-GGA SCAN.

Properties
crystal system	cubic
SG	F-43m (216)
magnetic moment	0.0	μB per formula unit
N(E_F)	1.0791	states/eV per atom

Cell and atoms, written as POSCAR:
```
YReRu
1.0
0.000 3.094 3.094
3.094 0.000 3.094
3.094 3.094 0.000
Y Re Ru
1 1 1
direct
0.000 0.000 0.000
0.250 0.250 0.250
0.500 0.500 0.500
```

Version ii
YReRu: single point on PBEsol structure, meta-GGA SCAN.

Properties
crystal system	trigonal
SG	P3m1 (156)
magnetic moment	0.0	μB per formula unit
N(E_F)	0.5510	states/eV per atom

Cell and atoms, written as POSCAR:
```
YReRu
1.0
4.078 0.000 0.000
-2.039 3.532 0.000
0.000 0.000 4.344
Y Re Ru
1 1 1
direct
0.000 0.000 0.000
0.667 0.333 0.526
0.333 0.667 0.473
```

Last place for stability: version i

Version i
Re2SiSb: single point on PBEsol structure, meta-GGA SCAN.

Properties
crystal system	tetragonal
SG	P4mm (99)
magnetic moment	0.0	μB per formula unit
N(E_F)	0.5015	states/eV per atom

Cell and atoms, written as POSCAR:
```
Re2SiSb
1.0
2.933 0.000 0.000
0.000 2.933 0.000
0.000 0.000 7.847
Re Si Sb
2 1 1
direct
0.000 0.000 0.000
0.500 0.500 0.209
0.500 0.500 0.802
0.000 0.000 0.468
```

Version ii
Re2SiSb: single point on PBEsol structure, meta-GGA SCAN.

Properties
crystal system	orthorhombic
SG	Pmmm (47)
magnetic moment	0.0	μB per formula unit
N(E_F)	0.7272	states/eV per atom

Cell and atoms, written as POSCAR:
```
Re2SiSb
1.0
3.100 0.000 0.000
0.000 4.124 0.000
0.000 0.000 5.020
Re Si Sb
2 1 1
direct
0.000 0.000 0.000
0.500 0.000 0.500
0.000 0.500 0.500
0.500 0.500 0.000
```

Version iii
Re2SiSb: single point on PBEsol structure, meta-GGA SCAN.

Properties
crystal system	trigonal
SG	R-3m (166)
magnetic moment	0.0	μB per formula unit
N(E_F)	0.7801	states/eV per atom

Cell and atoms, written as POSCAR:
```
Re2SiSb
1.0
1.483 0.856 8.178
-1.483 0.856 8.178
0.000 -1.713 8.178
Re Si Sb
2 1 1
direct
0.244 0.244 0.244
0.756 0.756 0.756
0.500 0.500 0.500
0.000 0.000 0.000
```

Last place for stability: version ii